The following is a DFT calculation (GGA-PBE) of La8Rh after structural relaxation.

Cell lengths 7.7761, 7.7761, 7.7761 Å; angles 98.62, 98.62, 134.46 degrees
Last column: nearest neighbours and their distance in Å.
Fractional coordinates of all 9 atoms:
La 0.0000 0.2856 0.2856  1 Rh 2.90
La 0.0000 0.7144 0.7144  1 Rh 2.90
La 0.2856 0.0000 0.2856  1 Rh 2.90
La 0.3539 0.3539 0.7078  2 La 2.96
La 0.3539 0.6461 0.0000  2 La 2.96
La 0.6461 0.3539 0.0000  2 La 2.96
La 0.6461 0.6461 0.2922  2 La 2.96
La 0.7144 0.0000 0.7144  1 Rh 2.90
Rh 0.0000 0.0000 0.0000  4 La 2.90

Values from the calculation:
Spin magnetization, μB per formula unit: 0.0
Raw total energy, eV/cell: -46.99
E_form, eV per formula unit: -0.2
Symmetry: I4/mmm